Record 1
Computed, not measured: a geometry-optimized CaCd2Au structure at the PBE level of DFT.

Computed properties:
Formation energy = -0.39 eV per atom
Volume = 96.96 Å³ per cell
Space group = Pm (6)

Cell lengths 3.6008, 4.4539, 6.2916 Å; angles 90.00, 106.07, 90.00 degrees
Element x y z (fractional)
Ca: 0.0000 0.0000 0.0000
Cd: 0.2647 0.0000 0.5288
Cd: 0.6628 0.5000 0.3284
Au: 0.4170 0.5000 0.8262

***

Record 2
Computed, not measured: a geometry-optimized Ca4CdAu structure at the PBE level of DFT.

Computed properties:
Offset from the most stable computed form = 707 meV/atom
Formation energy = 0.28 eV per atom
Volume = 198.25 Å³ per cell
Space group = F-43m (216)

Cell lengths 6.5450, 6.5450, 6.5450 Å; angles 60.00, 60.00, 60.00 degrees
Element x y z (fractional)
Ca: 0.1252 0.1252 0.1252
Ca: 0.1252 0.1252 0.6243
Ca: 0.1252 0.6243 0.1252
Ca: 0.6243 0.1252 0.1252
Cd: 0.7500 0.7500 0.7500
Au: 0.5000 0.5000 0.5000